[1]
The following is a PBE calculation of a relaxed structure of Mg2AlPt, from the Alexandria database.

Cell lengths 9.253, 9.253, 9.253 Å; angles 18.66, 18.66, 18.66 degrees
Fractional positions:
Al 0.250 0.250 0.250
Mg 0.005 0.005 0.005
Mg 0.495 0.495 0.495
Pt 0.750 0.750 0.750

Values from the calculation:
* magnetization: 0.0 μB/cell
* VASP energy: -0.26158 Ry/atom


[2]
The following is a PBE calculation of a relaxed structure of BePt4Au, from the Alexandria database.

Cell lengths 5.245, 5.245, 5.245 Å; angles 60.00, 60.00, 60.00 degrees
Fractional positions:
Be 0.000 0.000 0.000
Pt 0.875 0.375 0.375
Pt 0.375 0.375 0.875
Pt 0.375 0.875 0.375
Pt 0.375 0.375 0.375
Au 0.750 0.750 0.750

Values from the calculation:
* magnetization: 0.0 μB/cell
* VASP energy: -0.36102 Ry/atom


[3]
The following is a PBE calculation of a relaxed structure of TiBeCo2H, from the Alexandria database.

Cell lengths 3.635, 3.635, 3.570 Å; angles 90.00, 90.00, 90.00 degrees
Fractional positions:
Be 0.500 0.500 0.500
Co 0.000 0.500 0.000
Co 0.500 0.000 0.000
H 0.000 0.000 0.000
Ti 0.000 0.000 0.500

Values from the calculation:
* magnetization: 0.0 μB/cell
* energy relative to the lowest polymorph listed for this composition: 0 meV per atom


[4]
The following is a PBE calculation of a relaxed structure of Pa2As2Ru, from the Alexandria database.

Cell lengths 4.250, 7.193, 7.505 Å; angles 90.00, 106.45, 90.00 degrees
Fractional positions:
Pa 0.977 0.723 0.955
Pa 0.788 0.375 0.576
Pa 0.212 0.875 0.424
Pa 0.023 0.223 0.045
As 0.424 0.452 0.849
As 0.833 0.990 0.665
As 0.167 0.490 0.335
As 0.576 0.952 0.151
Ru 0.407 0.094 0.815
Ru 0.593 0.594 0.185

Values from the calculation:
* magnetization: 0.1 μB/cell
* VASP energy: -0.60593 Ry/atom


[5]
The following is a PBE calculation of a relaxed structure of Ba2SrAu, from the Alexandria database.

Cell lengths 5.888, 9.638, 4.849 Å; angles 59.79, 90.00, 127.68 degrees
Fractional positions:
Au 0.500 0.000 0.500
Ba 0.000 0.000 0.000
Ba 0.000 0.500 0.500
Sr 0.500 0.500 0.000

Values from the calculation:
* magnetization: 0.0 μB/cell
* energy relative to the lowest polymorph listed for this composition: 291 meV per atom


[6]
The following is a PBE calculation of a relaxed structure of Ac5Pr5Sm2, from the Alexandria database.

Cell lengths 6.013, 9.582, 9.616 Å; angles 66.13, 71.78, 71.71 degrees
Fractional positions:
Ac 0.878 0.785 0.460
Ac 0.252 0.742 0.755
Ac 0.748 0.258 0.245
Ac 0.122 0.215 0.540
Ac 0.000 0.000 0.000
Pr 0.500 0.500 0.500
Pr 0.376 0.294 0.954
Pr 0.377 0.962 0.284
Pr 0.623 0.038 0.716
Pr 0.624 0.706 0.046
Sm 0.875 0.453 0.798
Sm 0.125 0.547 0.202

Values from the calculation:
* magnetization: 0.0 μB/cell
* VASP energy: -0.32563 Ry/atom


[7]
The following is a PBE calculation of a relaxed structure of Li4In6Sn, from the Alexandria database.

Cell lengths 6.428, 8.128, 6.428 Å; angles 66.71, 90.00, 113.29 degrees
Fractional positions:
Li 0.627 0.696 0.373
Li 0.931 0.304 0.627
Li 0.069 0.696 0.931
Li 0.373 0.304 0.069
In 0.446 0.270 0.554
In 0.823 0.270 0.177
In 0.554 0.730 0.823
In 0.000 0.000 0.500
In 0.177 0.730 0.446
In 0.500 0.000 0.000
Sn 0.000 0.000 0.000

Values from the calculation:
* magnetization: 0.0 μB/cell
* VASP energy: -0.19278 Ry/atom


[8]
The following is a PBE calculation of a relaxed structure of Nb3GaRu4, from the Alexandria database.

Cell lengths 4.422, 4.422, 7.782 Å; angles 73.49, 73.49, 60.00 degrees
Fractional positions:
Ru 0.878 0.878 0.366
Ru 0.374 0.374 0.877
Ru 0.122 0.122 0.634
Ru 0.626 0.626 0.123
Nb 0.252 0.252 0.245
Nb 0.748 0.748 0.755
Nb 0.500 0.500 0.500
Ga 0.000 0.000 0.000

Values from the calculation:
* magnetization: 0.0 μB/cell
* VASP energy: -0.67078 Ry/atom


[9]
The following is a PBE calculation of a relaxed structure of Tl2ZnIn, from the Alexandria database.

Cell lengths 4.439, 4.439, 11.806 Å; angles 79.17, 79.17, 90.00 degrees
Fractional positions:
Tl 0.620 0.125 0.250
Tl 0.130 0.625 0.250
Tl 0.375 0.380 0.750
Tl 0.875 0.870 0.750
Zn 0.500 0.500 0.000
Zn 0.250 0.750 0.500
In 0.000 0.000 0.000
In 0.750 0.250 0.500

Values from the calculation:
* magnetization: 0.0 μB/cell
* VASP energy: -0.14739 Ry/atom


[10]
The following is a PBE calculation of a relaxed structure of Na2ZnPb, from the Alexandria database.

Cell lengths 5.241, 5.241, 5.241 Å; angles 60.00, 60.00, 60.00 degrees
Fractional positions:
Pb 0.500 0.500 0.500
Na 0.250 0.250 0.250
Na 0.750 0.750 0.750
Zn 0.000 0.000 0.000

Values from the calculation:
* magnetization: 0.0 μB/cell
* VASP energy: -0.13674 Ry/atom


[11]
The following is a PBE calculation of a relaxed structure of UNbAs, from the Alexandria database.

Cell lengths 4.052, 4.052, 7.975 Å; angles 104.72, 104.72, 90.00 degrees
Fractional positions:
U 0.170 0.170 0.341
U 0.830 0.830 0.659
Nb 0.000 0.500 0.000
Nb 0.500 0.000 0.000
As 0.630 0.630 0.261
As 0.370 0.370 0.739

Values from the calculation:
* magnetization: 4.3 μB/cell
* VASP energy: -0.66899 Ry/atom


[12]
The following is a PBE calculation of a relaxed structure of Be2Nb2Sn, from the Alexandria database.

Cell lengths 6.337, 6.337, 3.642 Å; angles 90.00, 90.00, 90.00 degrees
Fractional positions:
Be 0.387 0.887 0.000
Be 0.887 0.613 0.000
Be 0.613 0.113 0.000
Be 0.113 0.387 0.000
Nb 0.175 0.675 0.500
Nb 0.675 0.825 0.500
Nb 0.825 0.325 0.500
Nb 0.325 0.175 0.500
Sn 0.000 0.000 0.000
Sn 0.500 0.500 0.000

Values from the calculation:
* magnetization: 0.0 μB/cell
* energy relative to the lowest polymorph listed for this composition: 47 meV per atom


[13]
The following is a PBE calculation of a relaxed structure of TaSbBr2, from the Alexandria database.

Cell lengths 12.349, 12.349, 12.349 Å; angles 15.19, 15.19, 15.19 degrees
Fractional positions:
Sb 0.000 0.000 0.000
Br 0.886 0.886 0.886
Br 0.114 0.114 0.114
Ta 0.500 0.500 0.500

Values from the calculation:
* magnetization: 0.0 μB/cell
* uncorrected formation energy: -45 kJ/mol of formula units
* energy relative to the lowest polymorph listed for this composition: 207 meV per atom


[14]
The following is a PBE calculation of a relaxed structure of CaEr2Ga, from the Alexandria database.

Cell lengths 4.655, 4.794, 4.794 Å; angles 90.00, 90.00, 90.00 degrees
Fractional positions:
Ca 0.500 0.000 0.000
Ga 0.500 0.500 0.500
Er 0.000 0.000 0.500
Er 0.000 0.500 0.000

Values from the calculation:
* magnetization: 0.0 μB/cell
* energy relative to the lowest polymorph listed for this composition: 88 meV per atom


[15]
The following is a PBE calculation of a relaxed structure of KCaMg2Ni, from the Alexandria database.

Cell lengths 5.204, 5.204, 5.356 Å; angles 90.00, 90.00, 90.00 degrees
Fractional positions:
Mg 0.000 0.500 0.000
Mg 0.500 0.000 0.000
Ni 0.000 0.000 0.000
Ca 0.000 0.000 0.500
K 0.500 0.500 0.500

Values from the calculation:
* magnetization: 0.0 μB/cell
* VASP energy: -0.17449 Ry/atom


[16]
The following is a PBE calculation of a relaxed structure of La2ZnAgPd6, from the Alexandria database.

Cell lengths 5.646, 8.789, 8.790 Å; angles 37.45, 71.26, 89.98 degrees
Fractional positions:
La 0.287 0.713 0.426
La 0.713 0.287 0.574
Zn 0.500 0.500 0.000
Ag 0.000 0.000 0.000
Pd 0.255 0.746 0.993
Pd 0.753 0.746 0.993
Pd 0.256 0.249 0.491
Pd 0.745 0.254 0.007
Pd 0.247 0.254 0.007
Pd 0.744 0.751 0.509

Values from the calculation:
* magnetization: 0.0 μB/cell
* VASP energy: -0.36521 Ry/atom


[17]
The following is a PBE calculation of a relaxed structure of NpScSn2, from the Alexandria database.

Cell lengths 4.386, 4.725, 4.725 Å; angles 90.00, 90.00, 90.00 degrees
Fractional positions:
Np 0.500 0.500 0.500
Sc 0.500 0.000 0.000
Sn 0.000 0.000 0.500
Sn 0.000 0.500 0.000

Values from the calculation:
* magnetization: 5.1 μB/cell
* energy relative to the lowest polymorph listed for this composition: 0 meV per atom


[18]
The following is a PBE calculation of a relaxed structure of ScCrOs, from the Alexandria database.

Cell lengths 4.674, 5.329, 8.649 Å; angles 90.00, 112.51, 90.00 degrees
Fractional positions:
Sc 0.303 0.000 0.115
Sc 0.303 0.500 0.615
Sc 0.556 0.000 0.491
Sc 0.556 0.500 0.991
Cr 0.117 0.000 0.624
Cr 0.117 0.500 0.124
Cr 0.523 0.000 0.821
Cr 0.523 0.500 0.321
Os 0.966 0.236 0.320
Os 0.966 0.764 0.320
Os 0.966 0.736 0.820
Os 0.966 0.264 0.820

Values from the calculation:
* magnetization: 0.0 μB/cell
* energy relative to the lowest polymorph listed for this composition: 313 meV per atom


[19]
The following is a PBE calculation of a relaxed structure of Pr2DyTmS4, from the Alexandria database.

Cell lengths 3.920, 6.832, 7.087 Å; angles 108.56, 90.00, 90.00 degrees
Fractional positions:
Pr 0.500 0.000 0.500
Pr 0.000 0.500 0.500
Dy 0.500 0.500 0.000
Tm 0.000 0.000 0.000
S 0.500 0.239 0.226
S 0.500 0.761 0.774
S 0.000 0.254 0.772
S 0.000 0.746 0.228

Values from the calculation:
* magnetization: 0.0 μB/cell
* uncorrected formation energy: -1544 kJ/mol of formula units


[20]
The following is a PBE calculation of a relaxed structure of CeSnSb, from the Alexandria database.

Cell lengths 4.599, 4.599, 8.625 Å; angles 105.46, 105.46, 90.00 degrees
Fractional positions:
Ce 0.357 0.357 0.714
Ce 0.643 0.643 0.286
Sn 0.000 0.500 0.000
Sn 0.500 0.000 0.000
Sb 0.159 0.159 0.318
Sb 0.841 0.841 0.682

Values from the calculation:
* magnetization: 0.8 μB/cell
* uncorrected formation energy: -202 kJ/mol of formula units
* energy relative to the lowest polymorph listed for this composition: 0 meV per atom